# ZnRePb3 (PBE, optimized geometry)
data_ZnRePb3
_cell_length_a 5.359
_cell_length_b 5.359
_cell_length_c 5.359
_cell_angle_alpha 90.00
_cell_angle_beta 90.00
_cell_angle_gamma 90.00
_space_group_name_H-M_alt 'P m -3 m'
_space_group_IT_number 221
_space_group_name_Hall '-P 4 2 3'
loop_
_atom_site_label
_atom_site_type_symbol
_atom_site_fract_x
_atom_site_fract_y
_atom_site_fract_z
_atom_site_occupancy
Zn1 Zn 0.000 0.000 0.000 1
Re1 Re 0.500 0.500 0.500 1
Pb1 Pb 0.000 0.500 0.500 1
# - total magnetization (μB per atom) = 0.00
# - total DFT energy (no corrections) (eV for the cell shown) = -21.80
# - crystal system = cubic